Entry 1:
Below is a relaxed structure of BaNiP2S, with properties calculated at the PBE-GGA level.

Lattice parameters (Å, degrees): 4.4778 4.4778 5.2131 90.00 90.00 90.00
With the nearest neighbours (Å) after each atom.
Sites, in units of the cell vectors:
Ni  0.0000  0.0000  0.0000  4 P 2.24
S  0.0000  0.0000  0.5000  2 Ni 2.61
Ba  0.5000  0.5000  0.5000  4 S 3.17, 8 P 3.44
P  0.0000  0.5000  0.0000  2 Ni 2.24
P  0.5000  0.0000  0.0000  2 Ni 2.24

Results
E above lowest polymorph = 0 meV per atom
SG = No. 123
E_form (uncorrected) = -345 meV/atom
DFT total energy = -4.875 eV/atom



Entry 2:
Below is a relaxed structure of BaNi4SbP2, with properties calculated at the PBE-GGA level.

Lattice parameters (Å, degrees): 3.8682 3.8682 9.5635 90.00 90.00 90.00
With the nearest neighbours (Å) after each atom.
Sites, in units of the cell vectors:
Ba  0.0000  0.0000  0.5000  8 P 3.38, 8 Ni 3.61
Ni  0.0000  0.5000  0.1812  2 P 2.21
Ni  0.5000  0.0000  0.8188  2 P 2.21
Ni  0.5000  0.0000  0.1812  2 P 2.21
Ni  0.0000  0.5000  0.8188  2 P 2.21
Sb  0.0000  0.0000  0.0000  8 Ni 2.60
P  0.5000  0.5000  0.2931  4 Ni 2.21
P  0.5000  0.5000  0.7069  4 Ni 2.21

Results
SG = No. 123
E_form (uncorrected) = -535 meV/atom
DFT total energy = -5.534 eV/atom



Entry 3:
Below is a relaxed structure of BaSi2Ni2P6, with properties calculated at the PBE-GGA level.

Lattice parameters (Å, degrees): 6.9296 5.3640 8.0845 118.78 82.36 68.28
With the nearest neighbours (Å) after each atom.
Sites, in units of the cell vectors:
Ba  0.5000  0.0000  0.5000  6 P 3.30-3.64, 2 Ni 3.34, 2 Si 3.67
Si  0.8593  0.3218  0.7075  4 P 2.24-2.29
Si  0.1407  0.6782  0.2925  4 P 2.24-2.29
Ni  0.1967  0.8098  0.8567  4 P 2.15-2.24
Ni  0.8033  0.1902  0.1433  4 P 2.15-2.24
P  0.4887  0.5982  0.9126  1 P 2.12, 1 Ni 2.15, 1 Si 2.29
P  0.0303  0.3564  0.0646  1 P 2.20, 2 Ni 2.23, 1 Si 2.29
P  0.0828  0.8071  0.6097  1 Ni 2.24, 2 Si 2.24-2.25
P  0.9697  0.6436  0.9354  1 P 2.20, 2 Ni 2.23, 1 Si 2.29
P  0.9172  0.1929  0.3903  1 Ni 2.24, 2 Si 2.24-2.25
P  0.5113  0.4018  0.0874  1 P 2.12, 1 Ni 2.15, 1 Si 2.29

Results
SG = No. 2
E_form (uncorrected) = -319 meV/atom
DFT total energy = -5.482 eV/atom



Entry 4:
Below is a relaxed structure of BaSiNi2P6, with properties calculated at the PBE-GGA level.

Lattice parameters (Å, degrees): 5.7919 5.7919 8.5493 70.20 70.20 60.00
With the nearest neighbours (Å) after each atom.
Sites, in units of the cell vectors:
Ba  0.0000  0.0000  0.0000  12 P 3.55, 6 Ni 3.63
Si  0.5000  0.5000  0.5000  6 P 2.33
Ni  0.7261  0.7261  0.8217  3 P 2.11
Ni  0.2739  0.2739  0.1783  3 P 2.11
P  0.1547  0.5509  0.7435  1 Ni 2.11, 2 P 2.29, 1 Si 2.33
P  0.5509  0.1547  0.7435  1 Ni 2.11, 2 P 2.29, 1 Si 2.33
P  0.4491  0.4491  0.2565  1 Ni 2.11, 2 P 2.29, 1 Si 2.33
P  0.8453  0.4491  0.2565  1 Ni 2.11, 2 P 2.29, 1 Si 2.33
P  0.4491  0.8453  0.2565  1 Ni 2.11, 2 P 2.29, 1 Si 2.33
P  0.5509  0.5509  0.7435  1 Ni 2.11, 2 P 2.29, 1 Si 2.33

Results
SG = No. 166
E_form (uncorrected) = -115 meV/atom
DFT total energy = -5.252 eV/atom



no.,DOS at the Fermi energy (states/eV per atom)
1,1.008
2,0.803
3,0.426
4,0.146